(1)
PBE BaCaBe2, optimized geometry; space-group type = No. 216; excess energy over the best structure of this formula in the dataset = 365 meV per atom; formation enthalpy at 0 K = 0.672 eV/atom; raw total energy = -0.0798 hartree per atom
1.0
7.185 0.000 0.000
0.000 7.185 0.000
0.000 0.000 7.185
Ba Ca Be
4 4 8
direct
0.000 0.000 0.000 Ba
0.000 0.500 0.500 Ba
0.500 0.000 0.500 Ba
0.500 0.500 0.000 Ba
0.250 0.250 0.250 Ca
0.250 0.750 0.750 Ca
0.750 0.250 0.750 Ca
0.750 0.750 0.250 Ca
0.000 0.000 0.500 Be
0.000 0.500 0.000 Be
0.250 0.250 0.750 Be
0.250 0.750 0.250 Be
0.500 0.000 0.000 Be
0.500 0.500 0.500 Be
0.750 0.250 0.250 Be
0.750 0.750 0.750 Be

(2)
PBE BaCaBe, optimized geometry; space-group type = No. 107; excess energy over the best structure of this formula in the dataset = 0 meV per atom; formation enthalpy at 0 K = 0.344 eV/atom; raw total energy = -0.0811 hartree per atom
1.0
3.820 0.000 0.000
0.000 3.820 0.000
0.000 0.000 13.851
Ba Ca Be
2 2 2
direct
0.000 0.000 0.000 Ba
0.500 0.500 0.500 Ba
0.000 0.000 0.255 Ca
0.500 0.500 0.755 Ca
0.000 0.000 0.649 Be
0.500 0.500 0.149 Be

(3)
PBE BaCaBe2, optimized geometry; space-group type = No. 44; excess energy over the best structure of this formula in the dataset = 112 meV per atom; formation enthalpy at 0 K = 0.419 eV/atom; raw total energy = -0.0891 hartree per atom
1.0
4.048 0.000 0.000
0.000 5.564 0.000
0.000 0.000 8.991
Ba Ca Be
2 2 4
direct
0.000 0.000 0.000 Ba
0.500 0.500 0.500 Ba
0.000 0.500 0.175 Ca
0.500 0.000 0.675 Ca
0.000 0.000 0.377 Be
0.000 0.500 0.814 Be
0.500 0.000 0.314 Be
0.500 0.500 0.877 Be

(4)
PBE BaCaBe2, optimized geometry; space-group type = No. 141; excess energy over the best structure of this formula in the dataset = 469 meV per atom; formation enthalpy at 0 K = 0.776 eV/atom; raw total energy = -0.0760 hartree per atom
1.0
4.825 0.000 0.000
0.000 4.825 0.000
0.000 0.000 20.237
Ba Ca Be
4 4 8
direct
0.000 0.250 0.375 Ba
0.000 0.750 0.625 Ba
0.500 0.250 0.125 Ba
0.500 0.750 0.875 Ba
0.000 0.250 0.875 Ca
0.000 0.750 0.125 Ca
0.500 0.250 0.625 Ca
0.500 0.750 0.375 Ca
0.000 0.000 0.000 Be
0.000 0.500 0.000 Be
0.250 0.250 0.750 Be
0.250 0.750 0.250 Be
0.500 0.000 0.500 Be
0.500 0.500 0.500 Be
0.750 0.250 0.750 Be
0.750 0.750 0.250 Be